# 1
Entry from Alexandria via LeMat-Bulk: an optimized crystal structure of MgCuRuC (PBE).

a b c (Å): 2.989 5.082 5.082
angles (deg): 41.73 90.00 90.00
Positions (direct):
Mg  0.000  0.000  0.000
Cu  0.500  0.357  0.357
Ru  0.000  0.707  0.707
C  0.500  0.575  0.575

spin magnetization	0.00	μB/f.u.
space-group type	Amm2 (38)
DFT formation energy	1.3	eV per formula unit
E above lowest polymorph	113	meV per atom

***

# 2
Entry from Alexandria via LeMat-Bulk: an optimized crystal structure of Dy4Hg2H (PBE).

a b c (Å): 6.836 6.763 7.832
angles (deg): 90.00 105.89 90.00
Positions (direct):
Dy  0.035  0.005  0.268
Dy  0.035  0.495  0.268
Dy  0.377  0.750  0.078
Dy  0.413  0.750  0.616
Dy  0.587  0.250  0.384
Dy  0.623  0.250  0.922
Dy  0.965  0.505  0.732
Dy  0.965  0.995  0.732
Hg  0.234  0.250  0.031
Hg  0.264  0.250  0.596
Hg  0.736  0.750  0.404
Hg  0.766  0.750  0.969
H  0.202  0.750  0.792
H  0.798  0.250  0.208

spin magnetization	0.00	μB/f.u.
space-group type	P2_1/m (11)
E above lowest polymorph	0	meV per atom

***

# 3
Entry from Alexandria via LeMat-Bulk: an optimized crystal structure of K3Eu (PBE).

a b c (Å): 7.971 7.971 7.971
angles (deg): 133.26 133.26 68.25
Positions (direct):
K  0.000  0.000  0.000
K  0.250  0.750  0.500
K  0.750  0.250  0.500
Eu  0.500  0.500  0.000

spin magnetization	7.64	μB/f.u.
space-group type	I4/mmm (139)
DFT formation energy	0.7	eV per formula unit
E above lowest polymorph	29	meV per atom

***

- The highest spin magnetization belongs to which entry?
  K3Eu

***

- Which of these has the highest spin magnetization?
  K3Eu

***

- Which of these has the highest E above lowest polymorph?
  MgCuRuC